# 1
Below is a relaxed structure of AlCu4, with properties calculated at the PBEsol level.

Computed properties:
energy of formation: -0.11 eV/atom
electronic total energy: -4.401 eV/atom

Cell and atoms, written as CIF:
```
data_AlCu4
_chemical_formula_sum 'Al4 Cu16'
_symmetry_space_group_name_H-M 'P 21 3'
_symmetry_Int_Tables_number 198
_symmetry_space_group_name_Hall 'P 2ac 2ab 3'
_cell_length_a 6.2184
_cell_length_b 6.2184
_cell_length_c 6.2184
_cell_angle_alpha 90.00
_cell_angle_beta 90.00
_cell_angle_gamma 90.00
loop_
_atom_site_label
_atom_site_type_symbol
_atom_site_fract_x
_atom_site_fract_y
_atom_site_fract_z
Al1 Al 0.0601 0.0601 0.0601
Cu1 Cu 0.0471 0.8755 0.7009
Cu2 Cu 0.1912 0.8088 0.3088
```



# 2
Below is a relaxed structure of Al3Cu, with properties calculated at the PBEsol level.

Computed properties:
energy of formation: -0.04 eV/atom
electronic total energy: -4.196 eV/atom

Cell and atoms, written as CIF:
```
data_Al3Cu
_chemical_formula_sum 'Al6 Cu2'
_symmetry_space_group_name_H-M 'C 1 2/m 1'
_symmetry_Int_Tables_number 12
_cell_length_a 8.9463
_cell_length_b 2.8547
_cell_length_c 4.6891
_cell_angle_alpha 90.00
_cell_angle_beta 100.47
_cell_angle_gamma 90.00
loop_
_symmetry_equiv_pos_as_xyz
'x,y,z'
'-x,-y,-z'
'-x,y,-z'
'x,-y,z'
'x+1/2,y+1/2,z'
'-x+1/2,-y+1/2,-z'
'-x+1/2,y+1/2,-z'
'x+1/2,-y+1/2,z'
loop_
_atom_site_label
_atom_site_type_symbol
_atom_site_fract_x
_atom_site_fract_y
_atom_site_fract_z
Al1 Al 0.0000 0.0000 0.0000
Al2 Al 0.2416 0.0000 0.7414
Cu1 Cu 0.0000 0.5000 0.5000
```



# 3
Below is a relaxed structure of Al5Cu, with properties calculated at the PBEsol level.

Computed properties:
energy of formation: -0.06 eV/atom
electronic total energy: -4.188 eV/atom

Cell and atoms, written as CIF:
```
data_Al5Cu
_chemical_formula_sum 'Al5 Cu1'
_symmetry_space_group_name_H-M 'P 4/m m m'
_symmetry_Int_Tables_number 123
_symmetry_space_group_name_Hall '-P 4 2'
_cell_length_a 2.8005
_cell_length_b 2.8005
_cell_length_c 11.5938
_cell_angle_alpha 90.00
_cell_angle_beta 90.00
_cell_angle_gamma 90.00
loop_
_atom_site_label
_atom_site_type_symbol
_atom_site_fract_x
_atom_site_fract_y
_atom_site_fract_z
Al1 Al 0.0000 0.0000 0.0000
Al2 Al 0.0000 0.0000 0.3564
Al3 Al 0.5000 0.5000 0.1772
Cu1 Cu 0.5000 0.5000 0.5000
```



# 4
Below is a relaxed structure of Al3Cu, with properties calculated at the PBEsol level.

Computed properties:
energy of formation: 0.02 eV/atom
electronic total energy: -4.131 eV/atom

Cell and atoms, written as CIF:
```
data_Al3Cu
_chemical_formula_sum 'Al6 Cu2'
_symmetry_space_group_name_H-M 'P 63/m m c'
_symmetry_Int_Tables_number 194
_symmetry_space_group_name_Hall '-P 6c 2c'
_cell_length_a 5.4948
_cell_length_b 5.4948
_cell_length_c 4.4978
_cell_angle_alpha 90.00
_cell_angle_beta 90.00
_cell_angle_gamma 120.00
loop_
_atom_site_label
_atom_site_type_symbol
_atom_site_fract_x
_atom_site_fract_y
_atom_site_fract_z
Al1 Al 0.1687 0.3374 0.2500
Cu1 Cu 0.3333 0.6667 0.7500
```



# 5
Below is a relaxed structure of Al3Cu, with properties calculated at the PBEsol level.

Computed properties:
energy of formation: -0.04 eV/atom
electronic total energy: -4.188 eV/atom

Cell and atoms, written as CIF:
```
data_Al3Cu
_chemical_formula_sum 'Al6 Cu2'
_symmetry_space_group_name_H-M 'C m m m'
_symmetry_Int_Tables_number 65
_symmetry_space_group_name_Hall '-C 2 2'
_cell_length_a 5.3902
_cell_length_b 7.6555
_cell_length_c 2.8502
_cell_angle_alpha 90.00
_cell_angle_beta 90.00
_cell_angle_gamma 90.00
loop_
_atom_site_label
_atom_site_type_symbol
_atom_site_fract_x
_atom_site_fract_y
_atom_site_fract_z
Al1 Al 0.0000 0.0000 0.0000
Al2 Al 0.2500 0.2500 0.5000
Cu1 Cu 0.0000 0.5000 0.0000
```



# 6
Below is a relaxed structure of AlCu5, with properties calculated at the PBEsol level.

Computed properties:
energy of formation: -0.10 eV/atom
electronic total energy: -4.390 eV/atom

Cell and atoms, written as CIF:
```
data_AlCu5
_chemical_formula_sum 'Al2 Cu10'
_symmetry_space_group_name_H-M 'A m m 2'
_symmetry_Int_Tables_number 38
_cell_length_a 4.1478
_cell_length_b 2.6081
_cell_length_c 13.0314
_cell_angle_alpha 90.00
_cell_angle_beta 90.00
_cell_angle_gamma 90.00
loop_
_symmetry_equiv_pos_as_xyz
'x,y,z'
'-x,-y,z'
'-x,y,z'
'x,-y,z'
'x,y+1/2,z+1/2'
'-x,-y+1/2,z+1/2'
'-x,y+1/2,z+1/2'
'x,-y+1/2,z+1/2'
loop_
_atom_site_label
_atom_site_type_symbol
_atom_site_fract_x
_atom_site_fract_y
_atom_site_fract_z
Al1 Al 0.0000 0.0000 0.0000
Cu1 Cu 0.0000 0.0000 0.3325
Cu2 Cu 0.0000 0.0000 0.6678
Cu3 Cu 0.5000 0.0000 0.1167
Cu4 Cu 0.5000 0.0000 0.4470
Cu5 Cu 0.5000 0.0000 0.7817
```



- Number 5 is which compound?
  Al3Cu



Please write out number 3 again, unchanged.
Below is a relaxed structure of Al5Cu, with properties calculated at the PBEsol level.

Computed properties:
energy of formation: -0.06 eV/atom
electronic total energy: -4.188 eV/atom

Cell and atoms, written as CIF:
```
data_Al5Cu
_chemical_formula_sum 'Al5 Cu1'
_symmetry_space_group_name_H-M 'P 4/m m m'
_symmetry_Int_Tables_number 123
_symmetry_space_group_name_Hall '-P 4 2'
_cell_length_a 2.8005
_cell_length_b 2.8005
_cell_length_c 11.5938
_cell_angle_alpha 90.00
_cell_angle_beta 90.00
_cell_angle_gamma 90.00
loop_
_atom_site_label
_atom_site_type_symbol
_atom_site_fract_x
_atom_site_fract_y
_atom_site_fract_z
Al1 Al 0.0000 0.0000 0.0000
Al2 Al 0.0000 0.0000 0.3564
Al3 Al 0.5000 0.5000 0.1772
Cu1 Cu 0.5000 0.5000 0.5000
```